DFT (GGA-PBE) results for crystalline MgInSnRh at its relaxed geometry.

space group = F-43m
DFT total energy = -4.064 eV per atom
M_tot = 0.00 μB per cell
Fermi-level density of states = 3.0 states/eV per cell
formation enthalpy at 0 K = -142 meV per atom

Lattice parameters (Å, degrees): 4.788 4.788 4.788 60.00 60.00 60.00
Fractional positions:
1 Mg 0.250 0.250 0.250
2 Rh 0.750 0.750 0.750
3 Sn 0.000 0.000 0.000
4 In 0.500 0.500 0.500

=====

DFT (GGA-PBE) results for crystalline SrMgIn2Rh at its relaxed geometry.

space group = P4/mmm
DFT total energy = -3.576 eV per atom
M_tot = 0.00 μB per cell
Fermi-level density of states = 3.9 states/eV per cell
formation enthalpy at 0 K = -355 meV per atom

Lattice parameters (Å, degrees): 5.180 5.180 5.032 90.00 90.00 90.00
Fractional positions:
1 Sr 0.500 0.500 0.500
2 Mg 0.000 0.000 0.500
3 Rh 0.000 0.000 0.000
4 In 0.000 0.500 0.000
5 In 0.500 0.000 0.000